(1)
Below is crystalline LiCeF5 at its relaxed geometry, with properties calculated at the PBE-GGA level.

The structure belongs to space group Immm (No. 71); the cell edges are 3.964, 6.077 and 8.699 Å and the angles 90.00°, 90.00° and 90.00°. The distinct sites, in fractional coordinates, are Li at (0.000, 0.000, 0.000), Ce at (0.000, 0.000, 0.500), F at (0.000, 0.000, 0.264), F at (0.000, 0.304, 0.000) and F at (0.000, 0.500, 0.500).

The value obtained for the energy above the lowest structure with this stoichiometry is 127 meV/atom. The formation energy from raw total energies comes out at -3387 meV/atom.

=====

(2)
Below is crystalline CsPt2F7 at its relaxed geometry, with properties calculated at the PBE-GGA level.

The structure belongs to space group Cmmm (No. 65); the cell edges are 6.548, 12.953 and 4.115 Å and the angles 90.00°, 90.00° and 90.00°. The distinct sites, in fractional coordinates, are Cs at (0.000, 0.000, 0.000), Pt at (0.000, 0.336, 0.500), F at (0.000, 0.321, 0.000), F at (0.000, 0.500, 0.500) and F at (0.199, 0.154, 0.500).

The formation energy from raw total energies comes out at -1466 meV/atom.

=====

(3)
Below is crystalline SrAsOs at its relaxed geometry, with properties calculated at the PBE-GGA level.

The structure belongs to space group I4mm (No. 107); the cell edges are 3.280, 3.280 and 11.587 Å and the angles 90.00°, 90.00° and 90.00°. The distinct sites, in fractional coordinates, are Sr at (0.000, 0.000, 0.000), As at (0.000, 0.000, 0.706) and Os at (0.000, 0.000, 0.299).

=====

(4)
Below is crystalline Tb8Ge5P at its relaxed geometry, with properties calculated at the PBE-GGA level.

The structure belongs to space group I-4 (No. 82); the cell edges are 8.815, 8.815 and 8.853 Å and the angles 90.00°, 90.00° and 90.00°. The distinct sites, in fractional coordinates, are Tb at (0.065, 0.189, 0.192), Tb at (0.067, 0.317, 0.559), Ge at (0.000, 0.000, 0.500), Ge at (0.125, 0.250, 0.875) and P at (0.000, 0.500, 0.250).

=====

Which theoretical density belongs to each record? In order, 3.836 6.243 9.396 8.040 g/cm³.
Which VASP energy belongs to each record? In order, -5.845 -4.070 -5.898 -5.615 eV/atom.